# GGA+U BaTl2V2O7, optimized geometry
data_BaTl2V2O7
_cell_length_a 5.9123
_cell_length_b 5.9123
_cell_length_c 24.3083
_cell_angle_alpha 90.00
_cell_angle_beta 90.00
_cell_angle_gamma 120.00
_space_group_name_H-M_alt 'R 3 2'
_space_group_IT_number 155
_space_group_name_Hall 'R 3 2"'
loop_
_atom_site_label
_atom_site_type_symbol
_atom_site_fract_x
_atom_site_fract_y
_atom_site_fract_z
Ba1 Ba 0.0000 0.0000 0.0000
Tl1 Tl 0.0000 0.0000 0.2041
V1 V 0.0000 0.0000 0.4246
O1 O 0.0000 0.0000 0.5000
O2 O 0.0036 0.2781 0.4022
# - VASP energy (eV per atom) = -6.59
# - density (g cm⁻³) = 5.14
# - spin magnetization (μB/atom) = 0.000